No. 1
VASP calculation (PBE) on a geometry-optimized AcZn4Ag structure.

abc: 3.725 8.318 16.370
angles: 90.00 90.00 90.00
Positions (direct):
Zn 0.500 0.882 0.452
Zn 0.500 0.382 0.048
Zn 0.500 0.131 0.964
Zn 0.500 0.785 0.188
Zn 0.500 0.369 0.464
Zn 0.500 0.523 0.807
Zn 0.500 0.715 0.688
Zn 0.500 0.215 0.812
Zn 0.500 0.631 0.536
Zn 0.500 0.285 0.312
Zn 0.500 0.618 0.952
Zn 0.500 0.477 0.193
Zn 0.500 0.118 0.548
Zn 0.500 0.977 0.307
Zn 0.500 0.023 0.693
Zn 0.500 0.869 0.036
Ag 0.000 0.369 0.914
Ag 0.000 0.631 0.086
Ag 0.000 0.869 0.586
Ag 0.000 0.131 0.414
Ac 0.000 0.626 0.348
Ac 0.000 0.374 0.652
Ac 0.000 0.126 0.152
Ac 0.000 0.874 0.848

Values from the calculation:
ΔE_f   -0.162 eV per atom
Offset from the most stable computed form   0.0 meV/atom
Theoretical density   7.8 g/cm³
Spin magnetization   0.000 μB/atom



No. 2
VASP calculation (PBE) on a geometry-optimized La3ErIn12 structure.

abc: 4.746 4.746 19.015
angles: 90.00 90.00 90.00
Positions (direct):
In 0.500 0.500 0.249
In 0.500 0.500 0.751
In 0.000 0.500 0.627
In 0.500 0.500 0.000
In 0.500 0.000 0.119
In 0.000 0.500 0.373
In 0.000 0.500 0.881
In 0.500 0.000 0.627
In 0.000 0.500 0.119
In 0.500 0.000 0.881
In 0.500 0.500 0.500
In 0.500 0.000 0.373
La 0.000 0.000 0.500
La 0.000 0.000 0.755
La 0.000 0.000 0.245
Er 0.000 0.000 0.000

Values from the calculation:
ΔE_f   -0.457 eV per atom
Theoretical density   7.6 g/cm³
Spin magnetization   0.000 μB/atom



No. 3
VASP calculation (PBE) on a geometry-optimized KNaTi4Bi2O12 structure.

abc: 6.035 6.035 7.633
angles: 90.00 90.00 101.56
Positions (direct):
O 0.030 0.485 0.500
O 0.538 0.973 0.000
O 0.298 0.229 0.757
O 0.515 0.970 0.500
O 0.785 0.215 0.242
O 0.027 0.462 0.000
O 0.771 0.702 0.757
O 0.270 0.730 0.256
O 0.785 0.215 0.758
O 0.298 0.229 0.243
O 0.771 0.702 0.243
O 0.270 0.730 0.744
Ti 0.967 0.526 0.248
Ti 0.474 0.033 0.248
Ti 0.474 0.033 0.752
Ti 0.967 0.526 0.752
Bi 0.923 0.077 0.000
Bi 0.413 0.587 0.500
K 0.984 0.016 0.500
Na 0.442 0.558 0.000

Values from the calculation:
ΔE_f (raw)   -2.424 eV per atom
Theoretical density   5.3 g/cm³
Spin magnetization   0.000 μB/atom



No. 4
VASP calculation (PBE) on a geometry-optimized Ca4Cd3Rh2 structure.

abc: 4.384 7.283 8.125
angles: 109.32 105.65 90.00
Positions (direct):
Rh 0.397 0.552 0.794
Rh 0.603 0.448 0.206
Ca 0.772 0.329 0.544
Ca 0.228 0.671 0.456
Ca 0.426 0.156 0.852
Ca 0.574 0.844 0.148
Cd 0.902 0.802 0.804
Cd 0.098 0.198 0.196
Cd 0.000 0.500 0.000

Values from the calculation:
ΔE_f   -0.362 eV per atom
Theoretical density   5.0 g/cm³
Spin magnetization   0.000 μB/atom



No. 5
VASP calculation (PBE) on a geometry-optimized K2NaPt2 structure.

abc: 4.881 4.881 7.534
angles: 71.10 71.10 90.00
Positions (direct):
K 0.750 0.250 0.500
K 0.250 0.750 0.500
Pt 0.405 0.405 0.190
Pt 0.595 0.595 0.810
Na 0.000 0.000 0.000

Values from the calculation:
ΔE_f   0.338 eV per atom
Offset from the most stable computed form   255.5 meV/atom
Theoretical density   5.1 g/cm³
Spin magnetization   0.190 μB/atom



No. 6
VASP calculation (PBE) on a geometry-optimized Sn4IrPt structure.

abc: 7.159 5.045 7.300
angles: 90.00 91.50 90.00
Positions (direct):
Sn 0.856 0.500 0.140
Sn 0.644 0.000 0.860
Sn 0.356 0.000 0.140
Sn 0.144 0.500 0.860
Sn 0.845 0.000 0.369
Sn 0.155 0.000 0.631
Sn 0.345 0.500 0.369
Sn 0.655 0.500 0.631
Ir 0.500 0.000 0.500
Ir 0.000 0.500 0.500
Pt 0.500 0.500 0.000
Pt 0.000 0.000 0.000

Values from the calculation:
ΔE_f   -0.266 eV per atom
Offset from the most stable computed form   20.3 meV/atom
Theoretical density   10.9 g/cm³
Spin magnetization   0.000 μB/atom



No. 7
VASP calculation (PBE) on a geometry-optimized PrPtSe structure.

abc: 4.394 5.787 5.953
angles: 90.00 111.66 90.00
Positions (direct):
Pt 0.443 0.750 0.886
Pt 0.557 0.250 0.114
Se 0.173 0.250 0.346
Se 0.827 0.750 0.654
Pr 0.871 0.250 0.742
Pr 0.129 0.750 0.258

Values from the calculation:
ΔE_f (raw)   -1.148 eV per atom
Theoretical density   9.8 g/cm³
Spin magnetization   0.000 μB/atom



No. 8
VASP calculation (PBE) on a geometry-optimized Mg4Te5 structure.

abc: 8.037 8.037 8.037
angles: 93.56 93.56 151.14
Positions (direct):
Te 0.670 0.330 0.000
Te 0.330 0.330 0.660
Te 0.670 0.670 0.340
Te 0.000 0.000 0.000
Te 0.330 0.670 0.000
Mg 0.321 0.000 0.321
Mg 0.000 0.679 0.679
Mg 0.679 0.000 0.679
Mg 0.000 0.321 0.321

Values from the calculation:
Offset from the most stable computed form   360.4 meV/atom
ΔE_f (raw)   -0.047 eV per atom
Theoretical density   5.0 g/cm³
Spin magnetization   0.000 μB/atom



No. 9
VASP calculation (PBE) on a geometry-optimized NbPIN2 structure.

abc: 4.046 4.046 6.069
angles: 90.00 90.00 90.00
Positions (direct):
I 0.000 0.000 0.500
Nb 0.000 0.000 0.000
N 0.000 0.500 0.000
N 0.500 0.000 0.000
P 0.500 0.500 0.500

Values from the calculation:
Offset from the most stable computed form   0.0 meV/atom
ΔE_f (raw)   0.838 eV per atom
Theoretical density   4.7 g/cm³
Spin magnetization   0.329 μB/atom



No. 10
VASP calculation (PBE) on a geometry-optimized AlCu3 structure.

abc: 4.228 4.576 5.163
angles: 90.00 90.00 90.00
Positions (direct):
Al 0.000 0.338 0.000
Al 0.500 0.662 0.500
Cu 0.500 0.663 0.000
Cu 0.000 0.838 0.251
Cu 0.000 0.838 0.749
Cu 0.500 0.162 0.249
Cu 0.500 0.162 0.751
Cu 0.000 0.337 0.500

Values from the calculation:
ΔE_f   -0.193 eV per atom
Theoretical density   7.2 g/cm³
Spin magnetization   0.000 μB/atom



No. 11
VASP calculation (PBE) on a geometry-optimized TiTlV2As structure.

abc: 4.631 4.726 4.631
angles: 90.00 90.00 90.00
Positions (direct):
Tl 0.500 0.500 0.500
As 0.000 0.000 0.000
V 0.500 0.000 0.000
V 0.000 0.000 0.500
Ti 0.000 0.500 0.000

Values from the calculation:
ΔE_f   0.401 eV per atom
Theoretical density   7.0 g/cm³
Spin magnetization   0.826 μB/atom



No. 12
VASP calculation (PBE) on a geometry-optimized Pm2Al4GeAu3 structure.

abc: 4.430 4.430 10.357
angles: 90.00 90.00 90.00
Positions (direct):
Al 0.000 0.000 0.000
Al 0.000 0.500 0.368
Al 0.500 0.500 0.000
Al 0.500 0.000 0.632
Au 0.000 0.000 0.500
Au 0.500 0.000 0.871
Au 0.000 0.500 0.129
Pm 0.500 0.000 0.253
Pm 0.000 0.500 0.747
Ge 0.500 0.500 0.500

Values from the calculation:
ΔE_f   -0.688 eV per atom
Theoretical density   8.7 g/cm³
Spin magnetization   0.000 μB/atom